LaCd2BiC | PBE-GGA | relaxed

Cell: 6.2511 6.2511 4.2737 Å, 90.00 90.00 90.00°
Fractional positions:
La: 0.0000 0.0000 0.0000
Cd: 0.0000 0.5000 0.0000
Cd: 0.5000 0.0000 0.0000
Bi: 0.5000 0.5000 0.5000
C: 0.0000 0.0000 0.5000

Results
The calculation puts the theoretical density at 5.81 g cm⁻³. For the total magnetization, the calculation gives 0.0 Bohr magnetons per cell. The calculation puts the total energy at -14.52 eV/cell. For the formation energy, the calculation gives 103.13 kJ per mole of atoms. The space group is P4/mmm, No. 123.